(1)
TbGdPa | the Open Quantum Materials Database | GGA-PBE | optimized geometry; symmetry = F-43m, No. 216; raw total energy = -5.11 eV/atom; ΔE_f = 110.74 kJ per mole of atoms
1.0
0.000 3.738 3.738
3.738 0.000 3.738
3.738 3.738 0.000
Tb Gd Pa
1 1 1
Cartesian
0.000 0.000 0.000
3.738 3.738 3.738
5.607 5.607 5.607

=====

(2)
Dy2HoCdPt4 | the Open Quantum Materials Database | GGA-PBE | optimized geometry; symmetry = P4/mmm, No. 123; raw total energy = -5.91 eV/atom; ΔE_f = -100.72 kJ per mole of atoms
1.0
4.872 0.000 0.000
0.000 4.872 0.000
0.000 0.000 6.872
Dy Ho Cd Pt
2 1 1 4
Cartesian
0.000 0.000 0.000
2.436 2.436 3.436
0.000 0.000 3.436
2.436 2.436 0.000
0.000 2.436 1.755
0.000 2.436 5.117
2.436 0.000 1.755
2.436 0.000 5.117

=====

In order of appearance, size of the total moment = 2.71; 0.02 μB per cell.